No. 1
GGA-PBE CoAu2I6, relaxed; E_tot = -2.543 eV/atom; formation energy without anion corrections = 0.01 eV per atom; N(E_F) = 14.956 states/eV/cell
1.0
7.0225 0.0000 -1.5580
0.0000 7.4724 0.0000
0.1154 0.0000 12.5240
I Au Co
12 4 2
direct
0.3500 0.5482 0.2456 I
0.8027 0.6720 0.0782 I
0.8500 0.9518 0.7456 I
0.6644 0.2102 0.0719 I
0.6500 0.4518 0.7544 I
0.1644 0.2898 0.5719 I
0.8356 0.7101 0.4281 I
0.3356 0.7899 0.9281 I
0.6973 0.1720 0.4218 I
0.3027 0.8280 0.5782 I
0.1500 0.0482 0.2544 I
0.1973 0.3280 0.9218 I
0.4938 0.8700 0.3341 Au
0.9938 0.6300 0.8341 Au
0.0062 0.3700 0.1659 Au
0.5062 0.1300 0.6659 Au
0.5000 0.5000 0.0000 Co
0.0000 0.0000 0.5000 Co



No. 2
GGA-PBE CoAuI3, relaxed; E_tot = -2.458 eV/atom; formation energy without anion corrections = 0.55 eV per atom; relative energy among the computed polymorphs = 0 meV per atom; N(E_F) = 8.266 states/eV/cell
1.0
-1.7269 4.9357 0.7760
-1.8118 0.1466 -4.9640
-4.6563 -1.8875 1.6438
I Au Co
3 1 1
direct
0.5000 0.0000 0.0000 I
0.0000 0.0000 0.5000 I
0.0000 0.5000 0.0000 I
0.5000 0.5000 0.5000 Au
0.0000 0.0000 0.0000 Co



No. 3
GGA-PBE CoAuI2, relaxed; E_tot = -2.584 eV/atom; formation energy without anion corrections = 0.79 eV per atom; relative energy among the computed polymorphs = 570 meV per atom; N(E_F) = 4.444 states/eV/cell
1.0
0.0000 3.6595 3.6595
3.6595 0.0000 3.6595
3.6595 3.6595 0.0000
Co I Au
1 2 1
direct
0.0000 0.0000 0.0000 Co
0.2500 0.2500 0.2500 I
0.7500 0.7500 0.7500 I
0.5000 0.5000 0.5000 Au



No. 4
GGA-PBE CoAu2I, relaxed; E_tot = -3.208 eV/atom; formation energy without anion corrections = 0.59 eV per atom; relative energy among the computed polymorphs = 0 meV per atom; N(E_F) = 14.229 states/eV/cell
1.0
-5.7466 5.2604 -2.4659
-4.8039 -2.3519 6.1780
-4.2408 3.2887 3.3588
Au I Co
4 2 2
direct
0.3750 0.4363 0.7500 Au
0.5637 0.1250 0.2500 Au
0.1863 0.6250 0.2500 Au
0.8750 0.8137 0.7500 Au
0.0000 0.0000 0.0000 I
0.7500 0.2500 0.5000 I
0.2500 0.7500 0.5000 Co
0.5000 0.5000 0.0000 Co